i:
Computed, not measured: a geometry-optimized Na3Se structure at the GGA-PBE level of DFT.

The volume comes out at 263.7 Å³/cell. Its density of states at the Fermi level is 2.88 states/eV/cell. For the magnetic moment, the calculation gives 0.00 μB/f.u. The crystal system is orthorhombic.

The space group is Immm (No. 71) and the conventional cell measures 3.8479, 4.6555 and 14.7199 Å, with angles of 90.00, 90.00 and 90.00 degrees. The distinct sites, in fractional coordinates, are Na at (0.0000, 0.0000, 0.0000), Na at (0.0000, 0.5000, 0.1528) and Se at (0.0000, 0.0000, 0.5000).

ii:
Computed, not measured: a geometry-optimized Na3Se structure at the GGA-PBE level of DFT.

The volume comes out at 100.5 Å³/cell. Its density of states at the Fermi level is 0.91 states/eV/cell. For the magnetic moment, the calculation gives 0.83 μB/f.u. The crystal system is cubic.

The space group is Pm-3m (No. 221) and the conventional cell measures 4.6490, 4.6490 and 4.6490 Å, with angles of 90.00, 90.00 and 90.00 degrees. The distinct sites, in fractional coordinates, are Na at (0.0000, 0.0000, 0.5000) and Se at (0.5000, 0.5000, 0.5000).

Which structure is most stable? i, by 3.1 kJ/mol of atoms over the runner-up.

i:
Computed, not measured: a geometry-optimized NaSiSe3 structure at the GGA-PBE level of DFT.

The volume comes out at 274.5 Å³/cell. Its density of states at the Fermi level is 8.46 states/eV/cell. For the magnetic moment, the calculation gives 0.00 μB/f.u. The crystal system is hexagonal.

The space group is P6_322 (No. 182) and the conventional cell measures 7.1506, 7.1506 and 6.1983 Å, with angles of 90.00, 90.00 and 120.00 degrees. The distinct sites, in fractional coordinates, are Na at (0.3333, 0.6667, 0.2500), Si at (0.0000, 0.0000, 0.2500) and Se at (0.0000, 0.2651, 0.5000).

ii:
Computed, not measured: a geometry-optimized NaSiSe3 structure at the GGA-PBE level of DFT.

The volume comes out at 120.5 Å³/cell. Its density of states at the Fermi level is 3.17 states/eV/cell. For the magnetic moment, the calculation gives 0.00 μB/f.u. The crystal system is cubic.

The space group is Pm-3m (No. 221) and the conventional cell measures 4.9386, 4.9386 and 4.9386 Å, with angles of 90.00, 90.00 and 90.00 degrees. The distinct sites, in fractional coordinates, are Na at (0.0000, 0.0000, 0.0000), Si at (0.5000, 0.5000, 0.5000) and Se at (0.0000, 0.5000, 0.5000).

iii:
Computed, not measured: a geometry-optimized NaSiSe3 structure at the GGA-PBE level of DFT.

The volume comes out at 133.0 Å³/cell. Its density of states at the Fermi level is 5.15 states/eV/cell. For the magnetic moment, the calculation gives 1.80 μB/f.u. The crystal system is cubic.

The space group is Pm-3m (No. 221) and the conventional cell measures 5.1042, 5.1042 and 5.1042 Å, with angles of 90.00, 90.00 and 90.00 degrees. The distinct sites, in fractional coordinates, are Na at (0.0000, 0.0000, 0.0000), Si at (0.5000, 0.5000, 0.5000) and Se at (0.0000, 0.0000, 0.5000).

Which structure is most stable? i, by 21.4 kJ/mol of atoms over the runner-up.

i:
Computed, not measured: a geometry-optimized NaSiSe structure at the GGA-PBE level of DFT.

The volume comes out at 166.3 Å³/cell. Its density of states at the Fermi level is 0.00 states/eV/cell. For the magnetic moment, the calculation gives 0.00 μB/f.u. The crystal system is triclinic.

The space group is P1 (No. 1) and the conventional cell measures 4.0618, 6.3047 and 7.2575 Å, with angles of 67.71, 80.04 and 76.27 degrees. The distinct sites, in fractional coordinates, are Na at (0.0000, 0.0000, 0.0000), Na at (0.2284, 0.8257, 0.5015), Si at (0.2467, 0.3077, 0.1586), Si at (0.7088, 0.5247, 0.0267), Se at (0.6267, 0.8785, 0.7712) and Se at (0.8483, 0.5491, 0.3239).

ii:
Computed, not measured: a geometry-optimized NaSiSe structure at the GGA-PBE level of DFT.

The volume comes out at 149.5 Å³/cell. Its density of states at the Fermi level is 0.94 states/eV/cell. For the magnetic moment, the calculation gives 0.00 μB/f.u. The crystal system is monoclinic.

The space group is P2_1/m (No. 11) and the conventional cell measures 4.2211, 4.0626 and 8.7864 Å, with angles of 90.00, 97.28 and 90.00 degrees. The distinct sites, in fractional coordinates, are Na at (0.2197, 0.2500, 0.3197), Si at (0.3765, 0.2500, 0.9522) and Se at (0.2798, 0.2500, 0.6913).

Which structure is most stable? ii, by 3.7 kJ/mol of atoms over the runner-up.

i:
Computed, not measured: a geometry-optimized NaSiSe structure at the GGA-PBE level of DFT.

The volume comes out at 186.9 Å³/cell. Its density of states at the Fermi level is 0.00 states/eV/cell. For the magnetic moment, the calculation gives 0.00 μB/f.u. The crystal system is triclinic.

The space group is P1 (No. 1) and the conventional cell measures 4.0165, 6.6792 and 7.7730 Å, with angles of 106.98, 97.71 and 105.64 degrees. The distinct sites, in fractional coordinates, are Na at (0.0000, 0.0000, 0.0000), Na at (0.3260, 0.4185, 0.5357), Si at (0.0757, 0.8244, 0.5913), Si at (0.6003, 0.9498, 0.4870), Se at (0.5482, 0.1778, 0.7774) and Se at (0.6347, 0.1386, 0.2844).

ii:
Computed, not measured: a geometry-optimized NaSiSe structure at the GGA-PBE level of DFT.

The volume comes out at 146.3 Å³/cell. For the magnetic moment, the calculation gives 0.00 μB/f.u. The crystal system is triclinic.

The space group is P1 (No. 1) and the conventional cell measures 3.9984, 5.4414 and 7.6032 Å, with angles of 70.60, 82.02 and 69.72 degrees. The distinct sites, in fractional coordinates, are Na at (0.0000, 0.0000, 0.0000), Na at (0.2300, 0.6192, 0.6943), Si at (0.5424, 0.1765, 0.3876), Si at (0.9900, 0.3867, 0.2193), Se at (0.5383, 0.7800, 0.3109) and Se at (0.5486, 0.0379, 0.7114).

Which structure is most stable? ii, by 1.7 kJ/mol of atoms over the runner-up.

i:
Computed, not measured: a geometry-optimized NaSiSe structure at the GGA-PBE level of DFT.

The volume comes out at 175.6 Å³/cell. For the magnetic moment, the calculation gives 0.00 μB/f.u. The crystal system is triclinic.

The space group is P1 (No. 1) and the conventional cell measures 5.5157, 5.9423 and 6.0120 Å, with angles of 71.42, 70.21 and 86.05 degrees. The distinct sites, in fractional coordinates, are Na at (0.0000, 0.0000, 0.0000), Na at (0.4984, 0.5563, 0.5865), Si at (0.3256, 0.3122, 0.1429), Si at (0.9539, 0.1440, 0.4991), Se at (0.0795, 0.5655, 0.3809) and Se at (0.5478, 0.0946, 0.4343).

ii:
Computed, not measured: a geometry-optimized NaSiSe structure at the GGA-PBE level of DFT.

The volume comes out at 276.3 Å³/cell. Its density of states at the Fermi level is 1.04 states/eV/cell. For the magnetic moment, the calculation gives 0.00 μB/f.u. The crystal system is monoclinic.

The space group is C2/m (No. 12) and the conventional cell measures 5.7010, 5.5128 and 8.7991 Å, with angles of 90.00, 92.54 and 90.00 degrees. The distinct sites, in fractional coordinates, are Na at (0.2390, 0.0000, 0.3415), Si at (0.2191, 0.5000, 0.0360) and Se at (0.2370, 0.5000, 0.2973).

Which structure is most stable? ii, by 10.3 kJ/mol of atoms over the runner-up.

i:
Computed, not measured: a geometry-optimized Na2SiSe3 structure at the GGA-PBE level of DFT.

The volume comes out at 607.6 Å³/cell. For the magnetic moment, the calculation gives 0.00 μB/f.u. The crystal system is monoclinic.

The space group is C2/c (No. 15) and the conventional cell measures 11.6968, 7.6091 and 6.9201 Å, with angles of 90.00, 99.45 and 90.00 degrees. The distinct sites, in fractional coordinates, are Na at (0.1534, 0.1560, 0.1456), Si at (0.0000, 0.4130, 0.7500), Se at (0.0000, 0.1187, 0.7500) and Se at (0.1378, 0.4409, 0.4647).

ii:
Computed, not measured: a geometry-optimized Na2SiSe3 structure at the GGA-PBE level of DFT.

The volume comes out at 1409.8 Å³/cell. Its density of states at the Fermi level is 0.00 states/eV/cell. For the magnetic moment, the calculation gives 0.00 μB/f.u. The crystal system is monoclinic.

The space group is C2/c (No. 15) and the conventional cell measures 6.5627, 14.2245 and 15.1024 Å, with angles of 90.00, 90.12 and 90.00 degrees. The distinct sites, in fractional coordinates, are Na at (0.2379, 0.0269, 0.0642), Na at (0.2419, 0.2141, 0.6826), Si at (0.2398, 0.0157, 0.3349), Se at (0.0000, 0.1031, 0.2500), Se at (0.0000, 0.4405, 0.2500), Se at (0.1009, 0.1135, 0.8937) and Se at (0.1282, 0.3750, 0.5760).

Which structure is most stable? ii, by 5.9 kJ/mol of atoms over the runner-up.